Computed, not measured: a relaxed MgCd2Re crystal at the GGA-PBE level of DFT.

Geometry as POSCAR:
```
MgCd2Re
1.0
5.801 0.002 -0.001
2.918 5.014 0.001
-3.686 -3.678 2.557
Mg Cd Re
1 2 1
direct
0.486 0.486 0.000
0.010 0.010 0.000
0.750 0.250 0.500
0.253 0.753 0.500
```

Crystal system: orthorhombic
Size of the total moment: 0.0 Bohr magnetons per cell
SG: No. 44
DOS at the Fermi energy: 1.68 states/eV/cell
Energy relative to the elements: 0.45 eV per atom
Calculated total energy: -3.52 eV/atom

***

Computed, not measured: a relaxed MgCdRe2 crystal at the GGA-PBE level of DFT.

Geometry as POSCAR:
```
MgCdRe2
1.0
-2.801 -3.566 -0.172
-3.335 -0.415 3.049
-4.319 0.566 -1.271
Re Cd Mg
2 1 1
direct
0.250 0.250 0.250
0.750 0.750 0.750
0.500 0.500 0.500
0.000 0.000 0.000
```

Crystal system: cubic
Size of the total moment: 0.0 Bohr magnetons per cell
SG: No. 225
DOS at the Fermi energy: 5.84 states/eV/cell
Energy relative to the elements: 1.05 eV per atom
Calculated total energy: -5.80 eV/atom

***

Computed, not measured: a relaxed MgCdRe2 crystal at the GGA-PBE level of DFT.

Geometry as POSCAR:
```
MgCdRe2
1.0
-3.704 6.463 -0.583
-3.071 -1.155 6.713
-1.400 3.895 4.188
Re Cd Mg
4 2 2
direct
0.375 0.392 0.750
0.875 0.858 0.750
0.608 0.125 0.250
0.142 0.625 0.250
0.750 0.250 0.500
0.000 0.000 0.000
0.500 0.500 0.000
0.250 0.750 0.500
```

Crystal system: tetragonal
Size of the total moment: 0.0 Bohr magnetons per cell
SG: No. 122
DOS at the Fermi energy: 7.19 states/eV/cell
Energy relative to the elements: 1.29 eV per atom
Calculated total energy: -5.56 eV/atom

***

> The highest DOS at the Fermi energy belongs to which entry?

number 3